Compound: BaTaAg2
Source: Alexandria via LeMat-Bulk
Functional: PBE
Structure: optimized geometry

## Properties
excess energy over the best structure of this formula in the dataset: 365.7 meV/atom
crystal system: cubic

Cell lengths 7.411, 7.411, 7.411 Å; angles 90.00, 90.00, 90.00 degrees
Fractional coordinates of all 16 atoms:
Ba (0.000, 0.000, 0.000)
Ba (0.000, 0.500, 0.500)
Ba (0.500, 0.000, 0.500)
Ba (0.500, 0.500, 0.000)
Ta (0.000, 0.000, 0.500)
Ta (0.000, 0.500, 0.000)
Ta (0.500, 0.000, 0.000)
Ta (0.500, 0.500, 0.500)
Ag (0.250, 0.250, 0.250)
Ag (0.250, 0.250, 0.750)
Ag (0.250, 0.750, 0.250)
Ag (0.250, 0.750, 0.750)
Ag (0.750, 0.250, 0.250)
Ag (0.750, 0.250, 0.750)
Ag (0.750, 0.750, 0.250)
Ag (0.750, 0.750, 0.750)